Entry 1:
Compound: CaLaGa
Source: the Alexandria database
Functional: PBE-GGA
Structure: relaxed

Cell and atoms, written as POSCAR:
```
CaLaGa
1.0
7.5615 0.0000 0.0000
0.0000 3.7110 0.0000
0.0000 0.0000 13.3076
Ca La Ga
4 4 4
Direct
0.1207 0.2500 0.1136
0.3793 0.7500 0.6136
0.6207 0.2500 0.3864
0.8793 0.7500 0.8864
0.1214 0.2500 0.3838
0.3786 0.7500 0.8838
0.6214 0.2500 0.1162
0.8786 0.7500 0.6162
0.1307 0.2500 0.7494
0.3693 0.7500 0.2494
0.6307 0.2500 0.7506
0.8693 0.7500 0.2506
```

crystal system	orthorhombic
E_form	-0.33	eV per atom

Entry 2:
Compound: Ho2ErSc6
Source: the Alexandria database
Functional: PBE-GGA
Structure: relaxed

Cell and atoms, written as POSCAR:
```
Ho2ErSc6
1.0
3.3868 0.0000 0.0000
-1.6934 2.9331 0.0000
0.0000 0.0000 24.3142
Ho Er Sc
2 1 6
Direct
0.0000 0.0000 0.1726
0.0000 0.0000 0.8274
0.6667 0.3333 0.5000
0.0000 0.0000 0.3883
0.0000 0.0000 0.6117
0.6667 0.3333 0.0620
0.6667 0.3333 0.2850
0.6667 0.3333 0.7150
0.6667 0.3333 0.9380
```

crystal system	hexagonal
E_form	0.07	eV per atom

Entry 3:
Compound: ReAgRh
Source: the Alexandria database
Functional: PBE-GGA
Structure: relaxed

Cell and atoms, written as POSCAR:
```
ReAgRh
1.0
2.7845 0.0000 0.0000
0.0000 2.7845 0.0000
0.0000 0.0000 12.0648
Re Ag Rh
2 2 2
Direct
0.0000 0.0000 0.0000
0.5000 0.5000 0.5000
0.0000 0.0000 0.6784
0.5000 0.5000 0.1784
0.0000 0.0000 0.3580
0.5000 0.5000 0.8580
```

crystal system	tetragonal
E_form	0.24	eV per atom

Entry 4:
Compound: NiMoP2
Source: the Alexandria database
Functional: PBE-GGA
Structure: relaxed

Cell and atoms, written as POSCAR:
```
NiMoP2
1.0
4.3804 0.0000 0.0000
0.0000 3.5206 0.0000
0.0000 0.0000 7.9078
Ni Mo P
2 2 4
Direct
0.0000 0.0000 0.0000
0.0000 0.5000 0.5000
0.5000 0.0000 0.5665
0.5000 0.5000 0.0665
0.0000 0.0000 0.6909
0.0000 0.5000 0.1909
0.5000 0.0000 0.8738
0.5000 0.5000 0.3738
```

crystal system	orthorhombic
E_form	-0.33	eV per atom

Entry 5:
Compound: Zn2NiMo
Source: the Alexandria database
Functional: PBE-GGA
Structure: relaxed

Cell and atoms, written as POSCAR:
```
Zn2NiMo
1.0
3.8907 0.0000 0.0000
0.0000 3.8907 0.0000
0.0000 0.0000 7.3520
Zn Ni Mo
4 2 2
Direct
0.0000 0.5000 0.2500
0.0000 0.5000 0.7500
0.5000 0.0000 0.2500
0.5000 0.0000 0.7500
0.0000 0.0000 0.0000
0.5000 0.5000 0.5000
0.0000 0.0000 0.5000
0.5000 0.5000 0.0000
```

crystal system	tetragonal
E_form	0.20	eV per atom

Entry 6:
Compound: Cr4InTe
Source: the Alexandria database
Functional: PBE-GGA
Structure: relaxed

Cell and atoms, written as POSCAR:
```
Cr4InTe
1.0
0.0000 3.5660 3.5660
3.5660 0.0000 3.5660
3.5660 3.5660 0.0000
Cr In Te
4 1 1
Direct
0.1234 0.1234 0.1234
0.1234 0.1234 0.6298
0.1234 0.6298 0.1234
0.6298 0.1234 0.1234
0.7500 0.7500 0.7500
0.5000 0.5000 0.5000
```

crystal system	cubic
total energy	-6.8458	eV/atom

Entry 7:
Compound: NdDyMg2
Source: the Alexandria database
Functional: PBE-GGA
Structure: relaxed

Cell and atoms, written as POSCAR:
```
NdDyMg2
1.0
5.4037 0.0000 0.0000
0.0000 5.4037 0.0000
0.0000 0.0000 3.8645
Nd Dy Mg
1 1 2
Direct
0.0000 0.0000 0.0000
0.5000 0.5000 0.0000
0.0000 0.5000 0.5000
0.5000 0.0000 0.5000
```

crystal system	tetragonal
E_form	-0.09	eV per atom

Entry 8:
Compound: Sb2TePtAu
Source: the Alexandria database
Functional: PBE-GGA
Structure: relaxed

Cell and atoms, written as POSCAR:
```
Sb2TePtAu
1.0
5.1966 0.0000 0.0000
0.0000 5.1966 0.0000
0.0000 0.0000 5.4544
Sb Te Pt Au
2 1 1 1
Direct
0.0000 0.5000 0.0000
0.5000 0.0000 0.0000
0.0000 0.0000 0.5000
0.0000 0.0000 0.0000
0.5000 0.5000 0.5000
```

crystal system	tetragonal
total energy	-3.6244	eV/atom

Entry 9:
Compound: Sn2PdI
Source: the Alexandria database
Functional: PBE-GGA
Structure: relaxed

Cell and atoms, written as POSCAR:
```
Sn2PdI
1.0
6.4915 0.0000 0.0000
0.0000 6.4915 0.0000
0.0000 0.0000 13.9560
Sn Pd I
8 4 4
Direct
0.1508 0.2500 0.1250
0.2500 0.6508 0.3750
0.2500 0.8492 0.8750
0.3492 0.2500 0.6250
0.6508 0.7500 0.6250
0.7500 0.1508 0.8750
0.7500 0.3492 0.3750
0.8492 0.7500 0.1250
0.0000 0.0000 0.0000
0.0000 0.5000 0.2500
0.5000 0.0000 0.7500
0.5000 0.5000 0.5000
0.0000 0.0000 0.5000
0.0000 0.5000 0.7500
0.5000 0.0000 0.2500
0.5000 0.5000 0.0000
```

crystal system	tetragonal
total energy	-3.7360	eV/atom

Entry 10:
Compound: Zr2AlVIr
Source: the Alexandria database
Functional: PBE-GGA
Structure: relaxed

Cell and atoms, written as POSCAR:
```
Zr2AlVIr
1.0
4.9345 0.0000 0.0000
0.0000 4.9345 0.0000
0.0000 0.0000 4.3066
Zr Al V Ir
2 1 1 1
Direct
0.0000 0.5000 0.0000
0.5000 0.0000 0.0000
0.0000 0.0000 0.0000
0.0000 0.0000 0.5000
0.5000 0.5000 0.5000
```

crystal system	tetragonal
E_form	0.94	eV per atom

Entry 11:
Compound: CsCu2Cl3
Source: the Alexandria database
Functional: PBE-GGA
Structure: relaxed

Cell and atoms, written as POSCAR:
```
CsCu2Cl3
1.0
4.9790 -6.4599 0.0000
4.9790 6.4599 0.0000
0.0000 0.0000 5.2292
Cs Cu Cl
2 4 6
Direct
0.2040 0.7960 0.7500
0.7960 0.2040 0.2500
0.3252 0.3252 0.0000
0.3252 0.3252 0.5000
0.6748 0.6748 0.0000
0.6748 0.6748 0.5000
0.0990 0.3382 0.7500
0.3382 0.0990 0.2500
0.4032 0.5968 0.2500
0.5968 0.4032 0.7500
0.6618 0.9010 0.7500
0.9010 0.6618 0.2500
```

crystal system	orthorhombic
total energy	-3.3926	eV/atom

Entry 12:
Compound: SrNb3As
Source: the Alexandria database
Functional: PBE-GGA
Structure: relaxed

Cell and atoms, written as POSCAR:
```
SrNb3As
1.0
4.9451 0.0000 0.0000
0.0000 4.9451 0.0000
0.0000 0.0000 4.9451
Sr Nb As
1 3 1
Direct
0.0000 0.0000 0.0000
0.0000 0.5000 0.5000
0.5000 0.0000 0.5000
0.5000 0.5000 0.0000
0.5000 0.5000 0.5000
```

crystal system	cubic
E_form	0.61	eV per atom